[1]
Compound: BaICl2
Source: the Alexandria database
Functional: PBEsol
Structure: relaxed

Geometry as POSCAR:
```
BaICl2
1.0
-3.231 -5.873 2.620
7.009 1.053 1.249
-3.283 5.502 3.279
Ba Cl I
2 4 2
direct
0.250 0.750 0.500 Ba
0.000 0.000 0.000 Ba
0.625 0.081 0.956 Cl
0.919 0.875 0.544 Cl
0.331 0.375 0.456 Cl
0.125 0.669 0.044 Cl
0.750 0.250 0.500 I
0.500 0.500 0.000 I
```

Summary:
**Size of the total moment**: 1.037 μB/f.u.
**Symmetry**: I-42d
**Calculated volume**: 280.2 Å³/cell
**Formation energy (no corrections)**: -1.444 eV per atom
**E**: -3.4269 eV per atom

=====

[2]
Compound: CaYHg2
Source: the Alexandria database
Functional: PBEsol
Structure: relaxed

Geometry as POSCAR:
```
CaYHg2
1.0
-4.229 -3.010 0.159
-0.897 -3.001 4.142
-3.886 1.151 3.248
Y Ca Hg
1 1 2
direct
0.500 0.500 0.500 Y
0.000 0.000 0.000 Ca
0.750 0.750 0.750 Hg
0.250 0.250 0.250 Hg
```

Summary:
**Size of the total moment**: 0.000 μB/f.u.
**Symmetry**: Fm-3m
**Calculated volume**: 99.0 Å³/cell
**ΔH_f (0 K)**: -0.62 eV/atom
**ΔE to the lowest computed polymorph**: 11.3 meV/atom
**E**: -3.1458 eV per atom

=====

[3]
Compound: Ca2ScTa
Source: the Alexandria database
Functional: PBEsol
Structure: relaxed

Geometry as POSCAR:
```
Ca2ScTa
1.0
3.343 0.000 0.000
0.000 5.296 0.000
0.000 0.000 5.695
Ca Sc Ta
2 1 1
direct
0.500 0.500 0.000 Ca
0.000 0.000 0.000 Ca
0.500 0.000 0.500 Sc
0.000 0.500 0.500 Ta
```

Summary:
**Size of the total moment**: 0.005 μB/f.u.
**Symmetry**: Pmmm
**Calculated volume**: 100.8 Å³/cell
**ΔH_f (0 K)**: 0.69 eV/atom
**ΔE to the lowest computed polymorph**: 242.8 meV/atom
**E**: -5.1625 eV per atom

=====

[4]
Compound: ReW3
Source: the Alexandria database
Functional: PBEsol
Structure: relaxed

Geometry as POSCAR:
```
ReW3
1.0
4.993 0.000 0.000
0.000 4.993 0.000
0.000 0.000 4.993
W Re
6 2
direct
0.500 0.000 0.250 W
0.000 0.750 0.500 W
0.500 0.000 0.750 W
0.250 0.500 0.000 W
0.000 0.250 0.500 W
0.750 0.500 0.000 W
0.000 0.000 0.000 Re
0.500 0.500 0.500 Re
```

Summary:
**Size of the total moment**: 0.000 μB/f.u.
**Symmetry**: Pm-3n
**Calculated volume**: 124.5 Å³/cell
**ΔH_f (0 K)**: 0.03 eV/atom
**ΔE to the lowest computed polymorph**: 0.0 meV/atom
**E**: -13.6566 eV per atom

=====

[5]
Compound: Sr2LiCa
Source: the Alexandria database
Functional: PBEsol
Structure: relaxed

Geometry as POSCAR:
```
Sr2LiCa
1.0
4.413 0.000 0.000
0.000 6.189 0.000
0.000 0.000 6.189
Sr Li Ca
2 1 1
direct
0.000 0.500 0.000 Sr
0.000 0.000 0.500 Sr
0.500 0.000 0.000 Li
0.500 0.500 0.500 Ca
```

Summary:
**Size of the total moment**: 0.001 μB/f.u.
**Symmetry**: P4/mmm
**Calculated volume**: 169.1 Å³/cell
**ΔH_f (0 K)**: 0.05 eV/atom
**ΔE to the lowest computed polymorph**: 37.6 meV/atom
**E**: -1.8912 eV per atom

=====

[6]
Compound: Cr2InAu
Source: the Alexandria database
Functional: PBEsol
Structure: relaxed

Geometry as POSCAR:
```
Cr2InAu
1.0
-2.883 0.359 0.905
-0.022 -2.852 1.061
2.127 2.181 5.907
In Au Cr
1 1 2
direct
0.000 0.000 0.481 In
0.500 0.500 0.778 Au
0.500 0.500 0.198 Cr
0.000 0.000 0.043 Cr
```

Summary:
**Size of the total moment**: 0.311 μB/f.u.
**Symmetry**: P4mm
**Calculated volume**: 61.6 Å³/cell
**ΔH_f (0 K)**: 0.18 eV/atom
**E**: -6.6662 eV per atom

=====

[7]
Compound: ScCr4Mo
Source: the Alexandria database
Functional: PBEsol
Structure: relaxed

Geometry as POSCAR:
```
ScCr4Mo
1.0
4.834 0.000 0.000
2.417 4.187 0.000
2.417 1.396 3.947
Mo Cr Sc
1 4 1
direct
0.250 0.250 0.250 Mo
0.126 0.625 0.625 Cr
0.625 0.625 0.625 Cr
0.625 0.625 0.126 Cr
0.625 0.126 0.625 Cr
0.000 0.000 0.000 Sc
```

Summary:
**Size of the total moment**: 0.000 μB/f.u.
**Symmetry**: F-43m
**Calculated volume**: 79.9 Å³/cell
**ΔH_f (0 K)**: 0.04 eV/atom
**E**: -9.8468 eV per atom

=====

[8]
Compound: LiMn2W
Source: the Alexandria database
Functional: PBEsol
Structure: relaxed

Geometry as POSCAR:
```
LiMn2W
1.0
2.533 0.000 -0.017
0.000 4.014 0.000
-0.919 0.000 4.737
Mn Li W
2 1 1
direct
0.777 0.500 0.231 Mn
0.015 0.000 0.005 Mn
0.204 0.500 0.762 Li
0.505 0.000 0.502 W
```

Summary:
**Size of the total moment**: 1.157 μB/f.u.
**Symmetry**: Pm
**Calculated volume**: 48.1 Å³/cell
**ΔH_f (0 K)**: 0.40 eV/atom
**E**: -8.4241 eV per atom

=====

[9]
Compound: Al9Fe2Si4O24
Source: the Alexandria database
Functional: PBEsol
Structure: relaxed

Geometry as POSCAR:
```
Al9Fe2Si4O24
1.0
-3.478 -4.410 -0.499
6.103 -4.814 -0.994
3.423 -3.628 7.699
Si O Fe Al
4 24 2 9
direct
0.742 0.702 0.329 Si
0.258 0.298 0.671 Si
0.742 0.031 0.671 Si
0.258 0.969 0.329 Si
0.251 0.421 0.200 O
0.268 0.087 0.824 O
0.983 0.907 0.677 O
0.251 0.621 0.800 O
0.250 0.772 0.498 O
0.750 0.730 0.498 O
0.983 0.584 0.323 O
0.491 0.095 0.323 O
0.732 0.088 0.824 O
0.732 0.913 0.176 O
0.467 0.767 0.000 O
0.749 0.579 0.800 O
0.491 0.419 0.677 O
0.268 0.912 0.176 O
0.968 0.259 0.000 O
0.750 0.228 0.502 O
0.017 0.093 0.323 O
0.017 0.416 0.677 O
0.250 0.270 0.502 O
0.509 0.905 0.677 O
0.509 0.581 0.323 O
0.032 0.741 0.000 O
0.533 0.233 0.000 O
0.749 0.379 0.200 O
0.245 0.382 0.000 Fe
0.755 0.618 0.000 Fe
0.000 0.676 0.648 Al
0.500 0.000 0.000 Al
0.500 0.325 0.351 Al
0.237 0.848 0.826 Al
0.237 0.674 0.174 Al
0.000 0.324 0.352 Al
0.763 0.152 0.174 Al
0.500 0.675 0.649 Al
0.763 0.326 0.826 Al
```

Summary:
**Size of the total moment**: 9.000 μB/f.u.
**Symmetry**: C2/m
**Calculated volume**: 366.5 Å³/cell
**Formation energy (no corrections)**: -2.760 eV per atom
**E**: -7.9833 eV per atom

=====

[10]
Compound: CeReB4
Source: the Alexandria database
Functional: PBEsol
Structure: relaxed

Geometry as POSCAR:
```
CeReB4
1.0
-2.129 -2.722 -1.131
-1.702 -1.013 5.639
-8.792 7.424 -1.320
Ce B Re
4 16 4
direct
0.000 0.373 0.650 Ce
0.000 0.873 0.850 Ce
0.000 0.627 0.350 Ce
0.000 0.127 0.150 Ce
0.500 0.025 0.691 B
0.500 0.214 0.815 B
0.500 0.138 0.968 B
0.500 0.362 0.468 B
0.500 0.112 0.546 B
0.500 0.714 0.685 B
0.500 0.638 0.532 B
0.500 0.975 0.309 B
0.500 0.612 0.954 B
0.500 0.388 0.046 B
0.500 0.888 0.454 B
0.500 0.525 0.809 B
0.500 0.786 0.185 B
0.500 0.862 0.032 B
0.500 0.475 0.191 B
0.500 0.286 0.315 B
0.000 0.365 0.909 Re
0.000 0.135 0.409 Re
0.000 0.635 0.091 Re
0.000 0.865 0.591 Re
```

Summary:
**Size of the total moment**: 0.000 μB/f.u.
**Symmetry**: Pbam
**Calculated volume**: 251.7 Å³/cell
**ΔH_f (0 K)**: -0.62 eV/atom
**E**: -8.6148 eV per atom

=====

[11]
Compound: Tl2CuAg
Source: the Alexandria database
Functional: PBEsol
Structure: relaxed

Geometry as POSCAR:
```
Tl2CuAg
1.0
-4.542 -1.710 -0.045
-2.007 -1.445 -4.176
-0.809 -4.718 -0.799
Cu Tl Ag
1 2 1
direct
0.500 0.500 0.500 Cu
0.750 0.750 0.750 Tl
0.250 0.250 0.250 Tl
0.000 0.000 0.000 Ag
```

Summary:
**Size of the total moment**: 0.000 μB/f.u.
**Symmetry**: Fm-3m
**Calculated volume**: 80.8 Å³/cell
**ΔH_f (0 K)**: 0.28 eV/atom
**E**: -2.9484 eV per atom

=====

[12]
Compound: Ba2TaAu
Source: the Alexandria database
Functional: PBEsol
Structure: relaxed

Geometry as POSCAR:
```
Ba2TaAu
1.0
-3.275 0.242 -1.362
-1.993 -2.922 -0.367
-5.661 0.560 9.073
Ta Ba Au
1 2 1
direct
0.500 0.500 0.500 Ta
0.254 0.254 0.239 Ba
0.746 0.746 0.761 Ba
0.000 0.000 0.000 Au
```

Summary:
**Size of the total moment**: 0.000 μB/f.u.
**Symmetry**: R-3m
**Calculated volume**: 115.1 Å³/cell
**ΔH_f (0 K)**: 0.69 eV/atom
**ΔE to the lowest computed polymorph**: 0.0 meV/atom
**E**: -4.5071 eV per atom

=====

[13]
Compound: K2YAg
Source: the Alexandria database
Functional: PBEsol
Structure: relaxed

Geometry as POSCAR:
```
K2YAg
1.0
4.068 0.000 0.000
2.034 3.523 0.000
2.034 1.174 11.592
Ag Y K
1 1 2
direct
0.240 0.240 0.281 Ag
0.526 0.526 0.422 Y
0.759 0.759 0.722 K
0.975 0.975 0.075 K
```

Summary:
**Size of the total moment**: 0.011 μB/f.u.
**Symmetry**: R3m
**Calculated volume**: 166.1 Å³/cell
**ΔH_f (0 K)**: 0.21 eV/atom
**ΔE to the lowest computed polymorph**: 0.0 meV/atom
**E**: -2.8850 eV per atom

=====

[14]
Compound: CuSiAg2
Source: the Alexandria database
Functional: PBEsol
Structure: relaxed

Geometry as POSCAR:
```
CuSiAg2
1.0
-0.928 -2.510 -1.244
1.953 -2.360 3.304
-4.062 2.447 1.596
Si Ag Cu
1 2 1
direct
0.231 0.764 0.462 Si
0.763 0.288 0.526 Ag
0.982 0.956 0.963 Ag
0.524 0.492 0.049 Cu
```

Summary:
**Size of the total moment**: 0.000 μB/f.u.
**Symmetry**: Cm
**Calculated volume**: 58.5 Å³/cell
**Formation energy (no corrections)**: 0.105 eV per atom
**E**: -4.0705 eV per atom

=====

[15]
Compound: ScTaTe
Source: the Alexandria database
Functional: PBEsol
Structure: relaxed

Geometry as POSCAR:
```
ScTaTe
1.0
-2.554 2.983 2.335
-1.469 -1.045 4.197
1.746 2.150 3.633
Te Sc Ta
1 1 1
direct
0.250 0.250 0.250 Te
0.000 0.000 0.000 Sc
0.500 0.500 0.500 Ta
```

Summary:
**Size of the total moment**: 0.000 μB/f.u.
**Symmetry**: F-43m
**Calculated volume**: 67.4 Å³/cell
**Formation energy (no corrections)**: 0.195 eV per atom
**ΔE to the lowest computed polymorph**: 377.9 meV/atom
**E**: -7.3658 eV per atom

=====

[16]
Compound: TlCo2Ru
Source: the Alexandria database
Functional: PBEsol
Structure: relaxed

Geometry as POSCAR:
```
TlCo2Ru
1.0
3.636 0.000 0.000
0.000 3.902 0.000
0.000 0.000 3.902
Co Tl Ru
2 1 1
direct
0.000 0.500 0.000 Co
0.000 0.000 0.500 Co
0.500 0.000 0.000 Tl
0.500 0.500 0.500 Ru
```

Summary:
**Size of the total moment**: 4.195 μB/f.u.
**Symmetry**: P4/mmm
**Calculated volume**: 55.3 Å³/cell
**ΔH_f (0 K)**: 0.56 eV/atom
**ΔE to the lowest computed polymorph**: 98.3 meV/atom
**E**: -6.5126 eV per atom

=====

[17]
Compound: Sr2LaPd2
Source: the Alexandria database
Functional: PBEsol
Structure: relaxed

Geometry as POSCAR:
```
Sr2LaPd2
1.0
-4.568 0.529 -0.921
-0.677 -7.601 -1.009
-1.606 -0.850 7.480
Sr Pd La
4 4 2
direct
0.500 0.165 0.665 Sr
0.500 0.335 0.165 Sr
0.500 0.665 0.835 Sr
0.500 0.835 0.335 Sr
0.000 0.372 0.872 Pd
0.000 0.628 0.128 Pd
0.000 0.128 0.372 Pd
0.000 0.872 0.628 Pd
0.000 0.000 0.000 La
0.000 0.500 0.500 La
```

Summary:
**Size of the total moment**: 0.000 μB/f.u.
**Symmetry**: P4/mbm
**Calculated volume**: 277.8 Å³/cell
**ΔH_f (0 K)**: -0.47 eV/atom
**E**: -4.6584 eV per atom

=====

[18]
Compound: LaB2C2
Source: the Alexandria database
Functional: PBEsol
Structure: relaxed

Geometry as POSCAR:
```
LaB2C2
1.0
3.913 0.000 0.000
0.000 5.382 0.000
0.000 0.000 5.382
La C B
2 4 4
direct
0.000 0.500 0.500 La
0.000 0.000 0.000 La
0.500 0.339 0.839 C
0.500 0.839 0.661 C
0.500 0.161 0.339 C
0.500 0.661 0.161 C
0.500 0.137 0.637 B
0.500 0.637 0.863 B
0.500 0.363 0.137 B
0.500 0.863 0.363 B
```

Summary:
**Size of the total moment**: 0.000 μB/f.u.
**Symmetry**: P4/mbm
**Calculated volume**: 113.4 Å³/cell
**ΔH_f (0 K)**: -0.48 eV/atom
**E**: -8.2109 eV per atom

=====

[19]
Compound: TiCuSnS4
Source: the Alexandria database
Functional: PBEsol
Structure: relaxed

Geometry as POSCAR:
```
TiCuSnS4
1.0
-3.885 2.280 -5.371
-7.205 0.261 0.748
-3.292 6.436 0.538
S Ti Sn Cu
8 2 2 2
direct
0.250 0.263 0.237 S
0.244 0.268 0.768 S
0.279 0.732 0.232 S
0.756 0.732 0.232 S
0.750 0.737 0.763 S
0.721 0.268 0.768 S
0.750 0.263 0.237 S
0.250 0.737 0.763 S
0.000 0.500 0.000 Ti
0.500 0.500 0.000 Ti
0.000 0.000 0.000 Sn
0.000 0.500 0.500 Sn
0.631 0.119 0.619 Cu
0.369 0.881 0.381 Cu
```

Summary:
**Size of the total moment**: 0.000 μB/f.u.
**Symmetry**: Imma
**Calculated volume**: 265.8 Å³/cell
**Formation energy (no corrections)**: -0.793 eV per atom
**E**: -5.7143 eV per atom

=====

[20]
Compound: NaTa3N5
Source: the Alexandria database
Functional: PBEsol
Structure: relaxed

Geometry as POSCAR:
```
NaTa3N5
1.0
4.025 0.000 0.000
-2.012 5.060 0.000
0.000 0.000 10.289
N Na Ta
10 2 6
direct
0.252 0.503 0.250 N
0.679 0.357 0.078 N
0.955 0.910 0.378 N
0.321 0.643 0.578 N
0.955 0.910 0.122 N
0.679 0.357 0.422 N
0.045 0.090 0.878 N
0.321 0.643 0.922 N
0.748 0.497 0.750 N
0.045 0.090 0.622 N
0.496 0.992 0.750 Na
0.504 0.008 0.250 Na
0.797 0.594 0.250 Ta
0.858 0.716 0.952 Ta
0.142 0.284 0.452 Ta
0.203 0.406 0.750 Ta
0.142 0.284 0.048 Ta
0.858 0.716 0.548 Ta
```

Summary:
**Size of the total moment**: 0.000 μB/f.u.
**Symmetry**: Cmcm
**Calculated volume**: 209.5 Å³/cell
**Formation energy (no corrections)**: -1.100 eV per atom
**E**: -10.1767 eV per atom

=====

[21]
Compound: PBr2O
Source: the Alexandria database
Functional: PBEsol
Structure: relaxed

Geometry as POSCAR:
```
PBr2O
1.0
5.865 0.029 0.047
-2.138 5.462 -0.047
-2.138 -2.559 4.825
P O Br
2 2 4
direct
0.000 0.000 0.000 P
0.500 0.750 0.250 P
0.500 0.250 0.750 O
0.000 0.500 0.500 O
0.505 0.375 0.380 Br
0.495 0.875 0.870 Br
0.005 0.130 0.625 Br
0.995 0.620 0.125 Br
```

Summary:
**Size of the total moment**: 0.997 μB/f.u.
**Symmetry**: I-42d
**Calculated volume**: 155.0 Å³/cell
**Formation energy (no corrections)**: 0.728 eV per atom
**ΔE to the lowest computed polymorph**: 0.0 meV/atom
**E**: -2.9676 eV per atom

=====

[22]
Compound: KCuSe
Source: the Alexandria database
Functional: PBEsol
Structure: relaxed

Geometry as POSCAR:
```
KCuSe
1.0
-4.014 -0.763 0.454
2.138 -1.921 -2.939
1.030 -3.580 3.089
Se K Cu
1 1 1
direct
0.667 0.333 0.500 Se
0.333 0.667 0.000 K
0.000 0.000 0.500 Cu
```

Summary:
**Size of the total moment**: 0.000 μB/f.u.
**Symmetry**: P-6m2
**Calculated volume**: 70.8 Å³/cell
**Formation energy (no corrections)**: -0.658 eV per atom
**E**: -3.7636 eV per atom

=====

[23]
Compound: ZnHg2Ru
Source: the Alexandria database
Functional: PBEsol
Structure: relaxed

Geometry as POSCAR:
```
ZnHg2Ru
1.0
3.202 0.000 0.000
0.000 4.680 0.034
0.000 -1.318 4.490
Zn Hg Ru
1 2 1
direct
0.500 0.500 0.500 Zn
0.000 0.500 0.000 Hg
0.000 0.000 0.500 Hg
0.500 0.000 0.000 Ru
```

Summary:
**Size of the total moment**: 0.001 μB/f.u.
**Symmetry**: Cmmm
**Calculated volume**: 67.4 Å³/cell
**ΔH_f (0 K)**: 0.30 eV/atom
**E**: -2.9185 eV per atom